Computed, not measured: crystalline Hf2SnTePd at its relaxed geometry at the PBE-GGA level of DFT.

Values from the calculation:
* symmetry: P4/mmm
* calculated density: 8808 kg/m3
* E: -30.0 eV per formula unit

a b c (Å): 5.130 5.083 5.130
angles (deg): 90.00 90.00 90.00
Fractional coordinates of all 5 atoms:
Hf: 0.500 0.000 0.000
Te: 0.000 0.500 0.000
Hf: 0.000 0.000 0.500
Sn: 0.500 0.500 0.500
Pd: 0.000 0.000 0.000

Computed, not measured: crystalline La2Pm3TmSe6 at its relaxed geometry at the PBE-GGA level of DFT.

Values from the calculation:
* symmetry: C2/m
* calculated density: 7120 kg/m3
* E: -71.8 eV per formula unit

a b c (Å): 4.184 8.474 9.388
angles (deg): 102.72 102.88 90.00
Fractional coordinates of all 12 atoms:
Se: 0.335 0.412 0.671
La: 0.167 0.335 0.334
Pm: 0.171 0.835 0.342
Pm: 0.500 0.500 0.000
La: 0.833 0.665 0.666
Se: 0.996 0.236 0.993
Tm: 0.500 0.000 0.000
Se: 0.665 0.588 0.329
Se: 0.340 0.924 0.680
Pm: 0.829 0.165 0.658
Se: 0.004 0.764 0.007
Se: 0.660 0.076 0.320